A relaxed Y2Si2SnIr5 crystal. Source: Alexandria, functional PBE-GGA.

The calculated volume comes out at 17.1 Å³ per atom. The calculation puts the total magnetization at 0.00 μB/f.u. The value obtained for the density of states at the Fermi level is 4.38 states/eV/f.u. Its crystal system is tetragonal. Its total DFT energy (no corrections) is -8.025 eV/atom. The calculation puts the calculated density at 12.77 g cm⁻³.

It has space group P4/mbm (No. 127), with a = 9.722 Å, b = 9.722 Å, c = 3.614 Å, α = 90.00°, β = 90.00° and γ = 90.00°. The asymmetric unit holds Y at (0.176, 0.324, 0.000), Si at (0.122, 0.622, 0.000), Sn at (0.000, 0.000, 0.000), Ir at (0.000, 0.500, 0.500) and Ir at (0.068, 0.783, 0.500).